Material: Cs2AlTcBr6
Method: DFT, PBE-GGA
State: relaxed

The structure in POSCAR format:
```
Cs2AlTcBr6
1.0
-1.697 -7.102 2.719
0.860 -2.947 -7.161
4.920 -5.915 -1.214
Cs Tc Br Al
2 1 6 1
direct
0.750 0.250 0.500
0.250 0.750 0.500
0.000 0.000 0.000
0.236 0.236 0.527
0.764 0.764 0.473
0.236 0.236 0.000
0.764 0.764 0.000
0.764 0.236 0.000
0.236 0.764 0.000
0.500 0.500 0.000
```

Properties
Mass density (g/cm3): 4.32
Formation energy (no corrections) (eV/atom): -0.9019

***

Material: CsAl2VBr
Method: DFT, PBE-GGA
State: relaxed

The structure in POSCAR format:
```
CsAl2VBr
1.0
6.577 0.000 0.000
0.000 5.565 0.000
0.000 0.000 6.577
Cs Al Br V
1 2 1 1
direct
0.000 0.000 0.000
0.000 0.000 0.500
0.500 0.000 0.000
0.500 0.500 0.500
0.000 0.500 0.000
```

Properties
Mass density (g/cm3): 2.19
Formation energy (no corrections) (eV/atom): 1.7529

***

Material: Cs2AlWBr6
Method: DFT, PBE-GGA
State: relaxed

The structure in POSCAR format:
```
Cs2AlWBr6
1.0
7.947 0.000 0.000
0.000 7.947 0.000
3.973 3.973 5.617
Cs Br W Al
2 6 1 1
direct
0.750 0.250 0.500
0.250 0.750 0.500
0.234 0.234 0.533
0.766 0.766 0.467
0.234 0.234 0.000
0.766 0.766 0.000
0.766 0.234 0.000
0.234 0.766 0.000
0.000 0.000 0.000
0.500 0.500 0.000
```

Properties
Mass density (g/cm3): 4.48
Formation energy (no corrections) (eV/atom): -0.8799

***

Material: Cs2AlZnBr6
Method: DFT, PBE-GGA
State: relaxed

The structure in POSCAR format:
```
Cs2AlZnBr6
1.0
-0.369 -5.602 5.224
-4.875 -3.863 -4.486
1.586 -7.252 -2.035
Cs Zn Al Br
2 1 1 6
direct
0.750 0.250 0.500
0.250 0.750 0.500
0.000 0.000 0.000
0.500 0.500 0.000
0.263 0.263 0.475
0.737 0.737 0.525
0.261 0.261 0.000
0.739 0.739 0.000
0.739 0.261 0.000
0.261 0.739 0.000
```

Properties
Mass density (g/cm3): 4.33
Formation energy (no corrections) (eV/atom): -1.2053